NdNpCo4: relaxed, PBE-GGA.

magnetic moment = 0.2 μB per formula unit
formation enthalpy at 0 K = -0.007 eV per atom
electronic total energy = -184.7 eV/cell

abc: 7.1720 7.1720 7.1720
angles: 90.00 90.00 90.00
Last column: nearest neighbours and their distance in Å.
Space group F-43m (No. 216)
One atom of each set of equivalent atoms:
Nd1 0.0000 0.0000 0.0000 x4  12 Co 2.98, 4 Np 3.11
Np1 0.2500 0.2500 0.7500 x4  12 Co 2.97, 4 Nd 3.11
Co1 0.1236 0.1236 0.3764 x16  6 Co 2.51-2.56